(1)
Density functional theory data (PBE) for Mn2ReW after structural relaxation.

Cell: 3.7819 3.7819 7.7307 Å, 90.00 90.00 90.00°
Closest atoms and distances in Å follow each position.
Element x y z (fractional)
Mn: 0.0000 0.0000 0.0000  4 W 2.67, 4 Mn 2.70, 4 Re 2.70
Mn: 0.0000 0.5000 0.2500  4 Re 2.67, 4 Mn 2.70, 4 W 2.70
Mn: 0.5000 0.0000 0.7500  4 Re 2.67, 4 Mn 2.70, 4 W 2.70
Mn: 0.5000 0.5000 0.5000  4 W 2.67, 4 Mn 2.70, 4 Re 2.70
Re: 0.0000 0.5000 0.7500  8 Mn 2.67-2.70, 4 W 2.70
Re: 0.5000 0.0000 0.2500  8 Mn 2.67-2.70, 4 W 2.70
W: 0.0000 0.0000 0.5000  8 Mn 2.67-2.70, 4 Re 2.70
W: 0.5000 0.5000 0.0000  8 Mn 2.67-2.70, 4 Re 2.70

Results
- symmetry = I-4m2, No. 119

***

(2)
Density functional theory data (PBE) for Mn2ReW after structural relaxation.

Cell: 2.6456 4.1161 5.1744 Å, 90.00 102.29 90.00°
Closest atoms and distances in Å follow each position.
Element x y z (fractional)
Mn: 0.2444 0.0000 0.2466  2 Re 2.59, 2 W 2.59, 4 Mn 2.60-2.68
Mn: 0.7556 0.0000 0.7534  2 Re 2.59, 2 W 2.59, 4 Mn 2.60-2.68
Re: 0.5000 0.5000 0.0000  4 Mn 2.59, 2 W 2.64, 2 Re 2.65
W: 0.0000 0.5000 0.5000  4 Mn 2.59, 2 Re 2.64, 2 W 2.65

Results
- symmetry = P2/m, No. 10

***

no.,total DFT energy (no corrections) (eV per formula unit),M_tot (Bohr magnetons per cell),formation energy from the elements (meV per atom)
1,-43.1,0.59,162.1
2,-43.3,3.42,102.1